Record 1
Here is crystalline InPtBr2 at its relaxed geometry from Alexandria via LeMat-Bulk. Energies are from PBE.

Lattice parameters (Å, degrees): 3.4857 3.4857 8.4532 90.00 90.00 90.00
Closest atoms and distances in Å follow each position.
Positions (direct):
In 0.0000 0.0000 0.0000  4 Pt 2.80, 5 Br 3.03-3.13
Pt 0.5000 0.5000 0.1578  4 In 2.80, 4 Br 2.99
Br 0.0000 0.0000 0.3589  4 Pt 2.99, 1 In 3.03
Br 0.5000 0.5000 0.7716  4 In 3.13, 1 Pt 3.26, 4 Br 3.49

Computed properties:
- Crystal system: tetragonal
- E: -3.074 eV per atom
- Symmetry: P4mm
- Total moment: 0.00 μB per cell
- Formation energy (no corrections): -0.04 eV per atom


Record 2
Here is crystalline AlZnAu6 at its relaxed geometry from Alexandria via LeMat-Bulk. Energies are from PBE.

Lattice parameters (Å, degrees): 4.6599 4.6599 7.7120 104.19 104.19 72.38
Closest atoms and distances in Å follow each position.
Positions (direct):
Al 0.0000 0.0000 0.0000  8 Au 2.70-2.74
Zn 0.5000 0.5000 0.5000  6 Au 2.56-2.74
Au 0.0618 0.5645 0.1912  2 Al 2.70-2.74, 5 Au 2.74-2.95, 1 Zn 2.74
Au 0.1449 0.1449 0.4298  1 Zn 2.56, 1 Au 2.71
Au 0.4355 0.9382 0.8088  2 Al 2.70-2.74, 5 Au 2.74-2.95, 1 Zn 2.74
Au 0.5645 0.0618 0.1912  2 Al 2.70-2.74, 5 Au 2.74-2.95, 1 Zn 2.74
Au 0.8551 0.8551 0.5702  1 Zn 2.56, 1 Au 2.71
Au 0.9382 0.4355 0.8088  2 Al 2.70-2.74, 5 Au 2.74-2.95, 1 Zn 2.74

Computed properties:
- Crystal system: monoclinic
- E: -3.220 eV per atom
- ΔE_f: -135 meV per atom
- Symmetry: C2/m
- Total moment: 0.00 μB per cell


Record 3
Here is crystalline LaAg2Ru2 at its relaxed geometry from Alexandria via LeMat-Bulk. Energies are from PBE.

Lattice parameters (Å, degrees): 8.1682 8.1682 2.8227 90.00 90.00 90.00
Closest atoms and distances in Å follow each position.
Positions (direct):
La 0.0000 0.0000 0.0000  2 La 2.82
La 0.5000 0.5000 0.0000  2 La 2.82
Ag 0.1220 0.3780 0.0000  6 Ru 2.74-2.84, 3 Ag 2.82
Ag 0.3780 0.8780 0.0000  6 Ru 2.74-2.84, 3 Ag 2.82
Ag 0.6220 0.1220 0.0000  6 Ru 2.74-2.84, 3 Ag 2.82
Ag 0.8780 0.6220 0.0000  6 Ru 2.74-2.84, 3 Ag 2.82
Ru 0.1748 0.6748 0.5000  6 Ag 2.74-2.84, 2 Ru 2.82
Ru 0.3252 0.1748 0.5000  6 Ag 2.74-2.84, 2 Ru 2.82
Ru 0.6748 0.8252 0.5000  6 Ag 2.74-2.84, 2 Ru 2.82
Ru 0.8252 0.3252 0.5000  6 Ag 2.74-2.84, 2 Ru 2.82

Computed properties:
- Crystal system: tetragonal
- E: -5.358 eV per atom
- ΔE_f: 478 meV per atom
- Symmetry: P4/mbm
- Total moment: 2.44 μB per cell


Record 4
Here is crystalline TlIn5Te4 at its relaxed geometry from Alexandria via LeMat-Bulk. Energies are from PBE.

Lattice parameters (Å, degrees): 8.7938 11.8032 6.9880 90.00 90.00 90.00
Closest atoms and distances in Å follow each position.
Positions (direct):
Tl 0.2500 0.2500 0.0375  4 Te 3.36-3.58
Tl 0.7500 0.7500 0.9625  4 Te 3.36-3.58
In 0.0697 0.5107 0.7109  3 Te 3.15-3.27, 2 In 3.17-3.20
In 0.0697 0.9893 0.7109  3 Te 3.15-3.27, 2 In 3.17-3.20
In 0.2500 0.7500 0.3661  4 Te 2.89-2.94
In 0.4303 0.5107 0.7109  3 Te 3.15-3.27, 2 In 3.17-3.20
In 0.4303 0.9893 0.7109  3 Te 3.15-3.27, 2 In 3.17-3.20
In 0.5697 0.0107 0.2891  3 Te 3.15-3.27, 2 In 3.17-3.20
In 0.5697 0.4893 0.2891  3 Te 3.15-3.27, 2 In 3.17-3.20
In 0.7500 0.2500 0.6339  4 Te 2.89-2.94
In 0.9303 0.0107 0.2891  3 Te 3.15-3.27, 2 In 3.17-3.20
In 0.9303 0.4893 0.2891  3 Te 3.15-3.27, 2 In 3.17-3.20
Te 0.0400 0.2500 0.4389  3 In 2.89-3.16
Te 0.2500 0.5501 0.1155  5 In 2.94-3.27
Te 0.2500 0.9499 0.1155  5 In 2.94-3.27
Te 0.4600 0.2500 0.4389  3 In 2.89-3.16
Te 0.5400 0.7500 0.5611  3 In 2.89-3.16
Te 0.7500 0.0501 0.8845  5 In 2.94-3.27
Te 0.7500 0.4499 0.8845  5 In 2.94-3.27
Te 0.9600 0.7500 0.5611  3 In 2.89-3.16

Computed properties:
- Crystal system: orthorhombic
- E: -3.041 eV per atom
- Symmetry: Pmmn
- Total moment: 0.00 μB per cell
- Formation energy (no corrections): -0.18 eV per atom


Record 5
Here is crystalline CuSb3O at its relaxed geometry from Alexandria via LeMat-Bulk. Energies are from PBE.

Lattice parameters (Å, degrees): 4.9983 4.9983 4.9983 90.00 90.00 90.00
Closest atoms and distances in Å follow each position.
Positions (direct):
Cu 0.0000 0.0000 0.0000  6 Sb 2.50
Sb 0.0000 0.0000 0.5000  2 Cu 2.50
Sb 0.0000 0.5000 0.0000  2 Cu 2.50
Sb 0.5000 0.0000 0.0000  2 Cu 2.50
O 0.5000 0.5000 0.5000  12 Sb 3.53

Computed properties:
- Crystal system: cubic
- E: -3.436 eV per atom
- Symmetry: Pm-3m
- Total moment: 0.00 μB per cell
- Formation energy (no corrections): 0.85 eV per atom


Which formula does entry 1 have?
InPtBr2